The following is a GGA-PBE calculation of a relaxed Rb2ZrSc2Te6 crystal, from Alexandria.

E_tot: -4.97 eV/atom
formation energy from raw total energies: -1152 meV/atom
M_tot: 0.0 Bohr magnetons per cell

Lattice parameters (Å, degrees): 7.281 7.281 9.132 97.71 97.71 119.99
Sites, in units of the cell vectors:
Sc 0.332 0.668 0.500
Te 0.604 0.933 0.309
Te 0.396 0.067 0.691
Zr 0.000 0.000 0.500
Te 0.067 0.396 0.691
Te 0.729 0.729 0.689
Te 0.271 0.271 0.311
Rb 0.834 0.166 0.000
Rb 0.166 0.834 0.000
Te 0.933 0.604 0.309
Sc 0.668 0.332 0.500